DFT (GGA+U) results for CaNdCo4O12 after structural relaxation.

a b c (Å): 7.4980 5.2961 5.2961
angles (deg): 88.88 90.00 90.00
Positions (direct):
Ca  0.0000  0.0000  0.0000
Nd  0.5000  0.5042  0.5042
Co  0.2457  0.0053  0.5038
Co  0.2457  0.5038  0.0053
Co  0.7543  0.0053  0.5038
Co  0.7543  0.5038  0.0053
O  0.0000  0.5336  0.9803
O  0.0000  0.9803  0.5336
O  0.2226  0.2365  0.2365
O  0.2555  0.2583  0.7395
O  0.2555  0.7395  0.2583
O  0.2778  0.7451  0.7451
O  0.5000  0.0281  0.4772
O  0.5000  0.4772  0.0281
O  0.7222  0.7451  0.7451
O  0.7445  0.2583  0.7395
O  0.7445  0.7395  0.2583
O  0.7774  0.2365  0.2365

DOS at the Fermi energy = 8.9 states/eV/cell
space-group type = Amm2
magnetic moment = 14.59 Bohr magnetons per cell
electronic total energy = -5.834 eV/atom